Entry 1:
Material: LiCaSnAu3
Method: DFT, PBE
State: relaxed

Cell lengths 7.254, 5.889, 6.924 Å; angles 115.17, 90.00, 90.00 degrees
Element x y z (fractional)
Au 0.500 0.747 0.000
Au 0.000 0.253 0.000
Au 0.750 0.856 0.712
Au 0.000 0.747 0.000
Au 0.500 0.253 0.000
Au 0.250 0.144 0.288
Sn 0.250 0.362 0.723
Sn 0.750 0.638 0.277
Ca 0.750 0.332 0.664
Ca 0.250 0.668 0.336
Li 0.250 0.917 0.834
Li 0.750 0.083 0.166

Computed properties:
Its electronic total energy is -3.39 eV per atom. For the total magnetic moment, the calculation gives 0.00 μB/f.u. The crystal system is orthorhombic.



Entry 2:
Material: NaRu
Method: DFT, PBE
State: relaxed

Cell lengths 9.951, 9.951, 2.588 Å; angles 90.00, 90.00, 120.00 degrees
Element x y z (fractional)
Ru 0.836 0.391 0.250
Ru 0.391 0.555 0.750
Ru 0.164 0.609 0.750
Ru 0.555 0.164 0.250
Ru 0.445 0.836 0.750
Ru 0.609 0.445 0.250
Na 0.701 0.761 0.750
Na 0.761 0.060 0.250
Na 0.299 0.239 0.250
Na 0.060 0.299 0.750
Na 0.239 0.940 0.750
Na 0.940 0.701 0.250

Computed properties:
Its electronic total energy is -4.49 eV per atom. For the total magnetic moment, the calculation gives 0.23 μB/f.u. The crystal system is hexagonal.



Entry 3:
Material: LiSb2As
Method: DFT, PBE
State: relaxed

Cell lengths 4.990, 4.990, 3.748 Å; angles 90.00, 90.00, 101.80 degrees
Element x y z (fractional)
Li 0.000 0.500 0.500
Sb 0.500 0.500 0.000
Sb 0.000 0.000 0.000
As 0.500 0.000 0.500

Computed properties:
For the uncorrected formation energy, the calculation gives -0.036 eV/atom. Its electronic total energy is -3.74 eV per atom. For the total magnetic moment, the calculation gives 0.00 μB/f.u. The crystal system is orthorhombic.



Entry 4:
Material: HfCo2ReH
Method: DFT, PBE
State: relaxed

Cell lengths 3.835, 3.835, 3.920 Å; angles 90.00, 90.00, 90.00 degrees
Element x y z (fractional)
Co 0.000 0.500 0.000
Co 0.500 0.000 0.000
H 0.000 0.000 0.000
Re 0.000 0.000 0.500
Hf 0.500 0.500 0.500

Computed properties:
Its electronic total energy is -8.06 eV per atom. For the total magnetic moment, the calculation gives 0.00 μB/f.u. The crystal system is tetragonal.



Entry 5:
Material: ScAgRu2
Method: DFT, PBE
State: relaxed

Cell lengths 2.975, 4.817, 5.657 Å; angles 52.14, 90.00, 90.00 degrees
Element x y z (fractional)
Ru 0.000 0.000 0.000
Ru 0.500 0.500 0.000
Sc 0.500 0.500 0.500
Ag 0.000 0.000 0.500

Computed properties:
The calculation puts the energy relative to the lowest polymorph listed for this composition at 0.0317 eV/atom. Its electronic total energy is -6.87 eV per atom. For the total magnetic moment, the calculation gives 0.00 μB/f.u. The crystal system is monoclinic.



Entry 6:
Material: CaYH3
Method: DFT, PBE
State: relaxed

Cell lengths 4.126, 4.126, 4.126 Å; angles 90.00, 90.00, 90.00 degrees
Element x y z (fractional)
H 0.000 0.500 0.000
H 0.500 0.000 0.000
H 0.000 0.000 0.500
Ca 0.000 0.000 0.000
Y 0.500 0.500 0.500

Computed properties:
The calculation puts the energy relative to the lowest polymorph listed for this composition at 0.2328 eV/atom. Its electronic total energy is -3.82 eV per atom. For the total magnetic moment, the calculation gives 0.00 μB/f.u. The crystal system is cubic.



Entry 7:
Material: Na2PuCd2O6
Method: DFT, PBE
State: relaxed

Cell lengths 5.725, 5.725, 6.016 Å; angles 100.41, 100.41, 117.86 degrees
Element x y z (fractional)
Na 0.178 0.822 0.000
Na 0.822 0.178 0.000
Cd 0.662 0.338 0.500
Cd 0.338 0.662 0.500
O 0.628 0.938 0.286
O 0.783 0.783 0.709
O 0.372 0.062 0.714
O 0.062 0.372 0.714
O 0.217 0.217 0.291
O 0.938 0.628 0.286
Pu 0.000 0.000 0.500

Computed properties:
For the uncorrected formation energy, the calculation gives -1.744 eV/atom. Its electronic total energy is -6.16 eV per atom. For the total magnetic moment, the calculation gives 2.00 μB/f.u. The crystal system is monoclinic.



Entry 8:
Material: Pm2Nd2Sm7
Method: DFT, PBE
State: relaxed

Cell lengths 8.199, 10.698, 8.199 Å; angles 126.35, 88.74, 53.65 degrees
Element x y z (fractional)
Sm 0.000 0.500 0.000
Sm 0.762 0.326 0.764
Sm 0.764 0.674 0.762
Sm 0.352 0.917 0.648
Sm 0.236 0.326 0.238
Sm 0.648 0.083 0.352
Sm 0.238 0.674 0.236
Nd 0.781 0.306 0.219
Nd 0.219 0.694 0.781
Pm 0.715 0.000 0.715
Pm 0.285 0.000 0.285

Computed properties:
The calculation puts the energy relative to the lowest polymorph listed for this composition at 0.0000 eV/atom. Its electronic total energy is -4.59 eV per atom. For the total magnetic moment, the calculation gives 0.00 μB/f.u. The crystal system is monoclinic.



- What is the total magnetic moment in the fifth record?
  0.00 μB/f.u.